[1]
VASP calculation (PBE-GGA) on a geometry-optimized Zr2SiRh6 structure.

a = 3.2278 Å, b = 7.0367 Å, c = 13.4298 Å
α = 90.00°, β = 90.00°, γ = 90.00°
With the nearest neighbours (Å) after each atom.
Space group Immm (No. 71)
Symmetry-distinct sites (fractional):
Zr 0.0000 0.0000 0.1569 (multiplicity 4)  8 Rh 2.67-2.76
Si 0.0000 0.0000 0.5000 (multiplicity 2)  8 Rh 2.36-2.63
Rh 0.0000 0.1981 0.3341 (multiplicity 8)  1 Si 2.63, 3 Zr 2.67-2.76, 5 Rh 2.77-2.87
Rh 0.0000 0.2544 0.0000 (multiplicity 4)  2 Si 2.36

E: -7.840 eV per atom
ρ: 9.0 g cm⁻³


[2]
VASP calculation (PBE-GGA) on a geometry-optimized Zr2SiRh structure.

a = 3.9874 Å, b = 3.6302 Å, c = 10.2189 Å
α = 90.00°, β = 90.00°, γ = 90.00°
With the nearest neighbours (Å) after each atom.
Space group Amm2 (No. 38)
Symmetry-distinct sites (fractional):
Zr 0.0000 0.0000 0.0000 (multiplicity 2)  3 Si 2.78-2.95, 4 Rh 2.79
Zr 0.5000 0.0000 0.2921 (multiplicity 2)  4 Si 2.77, 3 Rh 2.84-2.90
Si 0.0000 0.0000 0.7278 (multiplicity 2)  2 Rh 2.56, 5 Zr 2.77-2.78
Rh 0.5000 0.0000 0.5701 (multiplicity 2)  2 Si 2.56, 5 Zr 2.79-2.84

E: -8.297 eV per atom
ρ: 7.0 g cm⁻³


[3]
VASP calculation (PBE-GGA) on a geometry-optimized Zr2SiRh structure.

a = 3.0675 Å, b = 3.0675 Å, c = 7.5401 Å
α = 90.00°, β = 90.00°, γ = 90.00°
With the nearest neighbours (Å) after each atom.
Space group P4/mmm (No. 123)
Symmetry-distinct sites (fractional):
Zr 0.0000 0.0000 0.2474 (multiplicity 2)  4 Rh 2.86, 4 Si 2.89, 4 Zr 3.07
Si 0.5000 0.5000 0.5000 (multiplicity 1)  8 Zr 2.89, 4 Si 3.07
Rh 0.5000 0.5000 0.0000 (multiplicity 1)  8 Zr 2.86, 4 Rh 3.07

E: -8.078 eV per atom
ρ: 7.3 g cm⁻³


[4]
VASP calculation (PBE-GGA) on a geometry-optimized ZrSiRh5 structure.

a = 4.0126 Å, b = 4.0126 Å, c = 6.6624 Å
α = 90.00°, β = 90.00°, γ = 90.00°
With the nearest neighbours (Å) after each atom.
Space group P4/mmm (No. 123)
Symmetry-distinct sites (fractional):
Zr 0.0000 0.0000 0.0000 (multiplicity 1)  12 Rh 2.80-2.84
Si 0.5000 0.5000 0.5000 (multiplicity 1)  8 Rh 2.43
Rh 0.0000 0.5000 0.2937 (multiplicity 4)  2 Si 2.43
Rh 0.5000 0.5000 0.0000 (multiplicity 1)  8 Rh 2.80, 4 Zr 2.84

E: -7.877 eV per atom
ρ: 9.8 g cm⁻³


| no. | formation energy (no corrections) (eV per formula unit) | density of states at the Fermi level (states/eV per cell) |
| --- | --- | --- |
| 1 | -3.933 | 10.751 |
| 2 | -3.319 | 6.255 |
| 3 | -2.443 | 2.848 |
| 4 | -4.412 | 5.348 |